Record 1
A plane-wave DFT calculation with PBE-GGA was carried out for Pu8Ag2Rh3 after structural relaxation.

Computed properties:
The symmetry is No. 12. The total energy is -142.8 eV for the cell shown. The formation energy comes out at -0.3 eV/f.u.

```
13
Lattice="-0.516 -0.058 -5.498 5.481 -4.149 -2.689 -3.648 -6.156 -1.811" Properties=species:S:1:pos:R:3 pbc="T T T"
Pu 1.543 -8.942 -4.395
Pu 0.920 -5.963 -4.066
Pu 3.259 -6.245 -5.100
Pu 0.397 -4.400 -5.933
Pu -1.235 -7.233 -4.668
Pu 2.551 -3.130 -5.331
Pu -1.942 -4.118 -4.899
Pu -0.227 -1.421 -5.604
Rh -1.131 -5.603 -2.053
Rh 2.964 -4.702 -2.447
Rh -0.258 -0.029 -2.749
Ag 0.910 -7.178 -6.949
Ag 0.407 -3.185 -3.049
```

***

Record 2
A plane-wave DFT calculation with PBE-GGA was carried out for CoRe2Rh after structural relaxation.

Computed properties:
The symmetry is No. 12. The total energy is -39.2 eV for the cell shown. The relative energy among the computed polymorphs comes out at 129 meV/atom. The formation energy comes out at 0.2 eV/f.u.

```
4
Lattice="-5.539 1.418 1.493 0.796 -3.325 -3.224 -1.322 -1.765 1.488" Properties=species:S:1:pos:R:3 pbc="T T T"
Re -3.430 -0.173 1.491
Re 0.000 0.000 0.000
Co -2.371 -0.954 -0.866
Rh -0.263 -2.545 -0.868
```

***

Record 3
A plane-wave DFT calculation with PBE-GGA was carried out for AsH2Pt after structural relaxation.

Computed properties:
The symmetry is No. 225. The total energy is -14.5 eV for the cell shown. The relative energy among the computed polymorphs comes out at 412 meV/atom.

```
4
Lattice="1.534 -3.453 0.865 0.742 -0.921 3.692 -2.148 -2.679 1.798" Properties=species:S:1:pos:R:3 pbc="T T T"
As 0.000 0.000 0.000
H 0.096 -5.291 4.766
H 0.032 -1.764 1.589
Pt 0.064 -3.527 3.177
```

***

Record 4
A plane-wave DFT calculation with PBE-GGA was carried out for Bi2ClF after structural relaxation.

Computed properties:
The symmetry is No. 122. The total energy is -29.4 eV for the cell shown. The relative energy among the computed polymorphs comes out at 0 meV/atom.

```
8
Lattice="4.713 0.000 0.000 0.000 4.713 0.000 2.357 2.357 9.223" Properties=species:S:1:pos:R:3 pbc="T T T"
Cl 0.000 0.000 0.000
Cl 4.713 2.357 4.612
Bi 1.359 3.535 2.306
Bi 5.892 5.711 6.918
Bi 3.354 1.178 2.306
Bi 3.535 3.716 6.918
F 2.357 4.713 4.612
F 2.357 2.357 0.000
```

***

Record 5
A plane-wave DFT calculation with PBE-GGA was carried out for Cu2AgHgN after structural relaxation.

Computed properties:
The symmetry is No. 123. The total energy is -10.0 eV for the cell shown.

```
5
Lattice="-2.323 -3.046 2.759 4.036 -3.180 -0.114 1.775 2.115 3.829" Properties=species:S:1:pos:R:3 pbc="T T T"
Ag 0.000 0.000 0.000
Cu 0.887 1.058 1.915
Cu -1.161 -1.523 1.380
N 1.744 -2.056 3.237
Hg 2.018 -1.590 -0.057
```

***

Record 6
A plane-wave DFT calculation with PBE-GGA was carried out for Na7CdHg2 after structural relaxation.

Computed properties:
The symmetry is No. 156. The total energy is -11.7 eV for the cell shown. The formation energy comes out at -1.0 eV/f.u.

```
10
Lattice="-3.922 0.572 -3.639 -0.009 -4.232 3.322 -6.785 6.565 8.346" Properties=species:S:1:pos:R:3 pbc="T T T"
Hg -5.009 1.285 1.623
Hg -6.172 2.071 6.979
Na -7.956 3.797 9.173
Na -4.879 4.721 6.001
Na -1.804 1.745 2.219
Na -8.395 4.560 5.787
Na -6.641 2.864 3.630
Na -3.376 -0.295 -0.385
Na -4.308 0.267 4.685
Cd -6.693 6.477 8.233
```

***

Record 7
A plane-wave DFT calculation with PBE-GGA was carried out for HgP2 after structural relaxation.

Computed properties:
The symmetry is No. 191. The total energy is -9.0 eV for the cell shown. The formation energy comes out at 2.1 eV/f.u.

```
3
Lattice="-4.532 1.184 -0.738 1.413 -4.482 -0.634 -0.588 -0.567 2.699" Properties=species:S:1:pos:R:3 pbc="T T T"
P -0.863 -2.877 0.681
P -2.844 -0.988 0.646
Hg 0.000 0.000 0.000
```

***

Record 8
A plane-wave DFT calculation with PBE-GGA was carried out for SmAl4CuPd2 after structural relaxation.

Computed properties:
The symmetry is No. 166. The total energy is -39.2 eV for the cell shown. The formation energy comes out at -5.0 eV/f.u.

```
8
Lattice="-0.360 2.524 -3.415 -1.789 -1.488 -3.571 -8.637 3.056 0.511" Properties=species:S:1:pos:R:3 pbc="T T T"
Al -3.126 1.270 -4.051
Al -5.303 2.116 -5.856
Al -5.484 1.977 -0.620
Al -7.661 2.822 -2.425
Sm 0.000 0.000 0.000
Cu -5.393 2.046 -3.238
Pd -7.748 2.952 -4.979
Pd -3.039 1.140 -1.496
```

***

Record 9
A plane-wave DFT calculation with PBE-GGA was carried out for Nb3ZnRe after structural relaxation.

Computed properties:
The symmetry is No. 221. The total energy is -36.2 eV for the cell shown. The relative energy among the computed polymorphs comes out at 393 meV/atom. The formation energy comes out at 7.7 eV/f.u.

```
5
Lattice="4.624 0.000 0.000 0.000 4.624 0.000 0.000 0.000 4.624" Properties=species:S:1:pos:R:3 pbc="T T T"
Re 2.312 2.312 2.312
Nb 0.000 0.000 2.312
Nb 0.000 2.312 0.000
Nb 2.312 0.000 0.000
Zn 0.000 0.000 0.000
```

***

Record 10
A plane-wave DFT calculation with PBE-GGA was carried out for HgPb2Br after structural relaxation.

Computed properties:
The symmetry is No. 6. The total energy is -10.2 eV for the cell shown. The relative energy among the computed polymorphs comes out at 0 meV/atom.

```
4
Lattice="-1.416 -4.935 -2.835 1.839 -1.943 2.462 -3.854 -1.484 4.508" Properties=species:S:1:pos:R:3 pbc="T T T"
Hg -1.918 -4.866 3.362
Pb -0.268 -0.164 0.419
Pb -0.555 -3.653 0.569
Br -1.697 -1.392 3.270
```

***

Record 11
A plane-wave DFT calculation with PBE-GGA was carried out for LaAlZn2Ni after structural relaxation.

Computed properties:
The symmetry is No. 44. The total energy is -19.0 eV for the cell shown. The relative energy among the computed polymorphs comes out at 0 meV/atom. The formation energy comes out at -2.0 eV/f.u.

```
5
Lattice="-0.035 3.487 -2.067 -4.244 -0.180 -0.231 1.765 1.132 5.856" Properties=species:S:1:pos:R:3 pbc="T T T"
Zn -0.167 2.860 0.852
Zn -0.038 0.282 0.476
Al -2.270 1.017 1.754
La -0.328 2.442 4.125
Ni -2.382 3.462 1.904
```

***

Record 12
A plane-wave DFT calculation with PBE-GGA was carried out for Ta2VPt2 after structural relaxation.

Computed properties:
The symmetry is No. 127. The total energy is -92.5 eV for the cell shown. The relative energy among the computed polymorphs comes out at 0 meV/atom. The formation energy comes out at -1.3 eV/f.u.

```
10
Lattice="7.296 0.000 0.000 0.000 7.296 0.000 0.000 0.000 3.275" Properties=species:S:1:pos:R:3 pbc="T T T"
Ta 6.024 2.376 1.637
Ta 4.920 6.024 1.637
Ta 1.272 4.920 1.637
Ta 2.376 1.272 1.637
Pt 0.942 2.706 0.000
Pt 4.590 0.942 0.000
Pt 2.706 6.353 0.000
Pt 6.353 4.590 0.000
V 3.648 3.648 0.000
V 0.000 0.000 0.000
```

***

Record 13
A plane-wave DFT calculation with PBE-GGA was carried out for Pr6FeAu2 after structural relaxation.

Computed properties:
The symmetry is No. 14. The total energy is -92.6 eV for the cell shown. The formation energy comes out at -2.6 eV/f.u.

```
18
Lattice="-0.592 6.898 -0.988 -7.399 -0.809 -1.214 -1.849 1.729 10.117" Properties=species:S:1:pos:R:3 pbc="T T T"
Pr -4.563 2.562 1.525
Pr -6.410 5.865 2.772
Pr -5.277 5.257 6.390
Pr -9.119 6.511 5.542
Pr -0.721 1.308 2.373
Pr -5.663 5.156 -1.059
Pr -7.239 2.468 4.338
Pr -3.430 1.953 5.143
Pr -7.907 3.186 8.182
Pr -2.601 5.351 3.577
Pr -4.177 2.663 8.974
Pr -1.933 4.633 -0.267
Fe -0.924 0.865 5.058
Fe -3.996 3.045 -1.101
Au -2.398 4.306 6.919
Au -5.896 1.166 6.905
Au -3.944 6.652 1.010
Au -7.442 3.513 0.996
```

***

Record 14
A plane-wave DFT calculation with PBE-GGA was carried out for Rb3ErTe2O9 after structural relaxation.

Computed properties:
The symmetry is No. 164. The total energy is -82.8 eV for the cell shown.

```
15
Lattice="5.898 0.000 0.000 -2.949 5.108 0.000 0.000 0.000 7.238" Properties=species:S:1:pos:R:3 pbc="T T T"
Te 2.949 1.703 6.008
Te 0.000 3.405 1.230
Rb 0.000 3.405 4.829
Rb 0.000 0.000 0.000
Rb 2.949 1.703 2.409
Er 0.000 0.000 3.619
O 2.949 0.000 0.000
O -1.475 2.554 0.000
O 4.332 0.904 4.952
O 1.475 2.554 0.000
O 1.567 0.904 4.952
O 1.382 4.203 2.287
O 0.000 1.809 2.287
O 2.949 3.299 4.952
O -1.382 4.203 2.287
```

***

Record 15
A plane-wave DFT calculation with PBE-GGA was carried out for MnBeAl2B after structural relaxation.

Computed properties:
The symmetry is No. 123. The total energy is -25.1 eV for the cell shown. The formation energy comes out at 1.9 eV/f.u.

```
5
Lattice="-0.032 4.228 -0.525 -2.468 -0.338 -2.569 -3.085 0.339 2.919" Properties=species:S:1:pos:R:3 pbc="T T T"
B 0.000 0.000 0.000
Be -1.234 -0.169 -1.284
Mn -2.792 2.114 -0.088
Al -0.016 2.114 -0.263
Al -1.542 0.169 1.459
```

***

Record 16
A plane-wave DFT calculation with PBE-GGA was carried out for Ca2Nd3Pd2 after structural relaxation.

Computed properties:
The symmetry is No. 12. The total energy is -31.9 eV for the cell shown. The formation energy comes out at -3.2 eV/f.u.

```
7
Lattice="3.833 0.000 1.077 1.426 6.193 2.282 -0.397 -0.239 8.772" Properties=species:S:1:pos:R:3 pbc="T T T"
Ca 1.240 2.925 2.947
Ca 3.623 3.029 9.184
Nd 1.916 0.000 0.539
Nd 2.438 1.115 6.040
Nd 2.424 4.839 6.091
Pd 1.630 5.437 8.915
Pd 3.232 0.518 3.216
```

***

Record 17
A plane-wave DFT calculation with PBE-GGA was carried out for ZrInRuPt after structural relaxation.

Computed properties:
The symmetry is No. 119. The total energy is -29.0 eV for the cell shown. The formation energy comes out at -2.4 eV/f.u.

```
4
Lattice="-3.238 1.214 2.683 -2.636 -2.972 -1.837 4.040 -1.621 2.039" Properties=species:S:1:pos:R:3 pbc="T T T"
Zr -0.766 -2.737 0.313
Pt -2.937 -0.879 0.423
In -1.067 -0.644 2.573
Ru -1.834 -3.380 2.886
```

***

Record 18
A plane-wave DFT calculation with PBE-GGA was carried out for Fe3B2 after structural relaxation.

Computed properties:
The symmetry is No. 71. The total energy is -39.9 eV for the cell shown. The formation energy comes out at -1.2 eV/f.u.

```
5
Lattice="2.954 0.000 0.000 1.477 4.001 0.138 1.477 1.307 3.784" Properties=species:S:1:pos:R:3 pbc="T T T"
Fe 4.431 3.715 2.745
Fe 0.000 0.000 0.000
Fe 1.477 1.593 1.177
B 2.954 3.171 1.262
B 2.954 2.138 2.660
```

***

Record 19
A plane-wave DFT calculation with PBE-GGA was carried out for Ac2TlAg5 after structural relaxation.

Computed properties:
The symmetry is No. 107. The total energy is -25.7 eV for the cell shown. The relative energy among the computed polymorphs comes out at 115 meV/atom. The formation energy comes out at -0.8 eV/f.u.

```
8
Lattice="6.637 0.152 0.217 -3.135 5.852 -0.217 -3.135 -2.195 5.429" Properties=species:S:1:pos:R:3 pbc="T T T"
Ag 2.005 1.208 1.721
Ag -1.767 2.677 3.815
Ag -1.605 0.936 1.334
Ag -3.199 0.220 3.815
Ag -3.199 3.512 1.504
Ac 0.121 3.953 1.355
Ac 0.121 -0.070 4.178
Tl -5.677 3.311 4.719
```

***

Record 20
A plane-wave DFT calculation with PBE-GGA was carried out for YVHg2Os after structural relaxation.

Computed properties:
The symmetry is No. 123. The total energy is -17.9 eV for the cell shown. The formation energy comes out at 9.5 eV/f.u.

```
5
Lattice="-4.732 2.693 0.928 -1.012 -0.127 -4.791 -2.610 -4.820 0.679" Properties=species:S:1:pos:R:3 pbc="T T T"
V -4.177 -1.127 -1.592
Y 0.000 0.000 0.000
Os -0.506 -0.063 -2.396
Hg -1.305 -2.410 0.339
Hg -2.366 1.347 0.464
```